1.
Compound: CaAc2DyO6
Source: Alexandria
Functional: PBE
Structure: optimized geometry

a b c (Å): 6.0457 6.2464 10.5660
angles (deg): 90.00 124.40 90.00
Last column: nearest neighbours and their distance in Å.
Sites, in units of the cell vectors:
Ca (0.0000, 0.0000, 0.0000)  6 O 2.34-2.41
Ca (0.0000, 0.5000, 0.5000)  6 O 2.34-2.41
Ac (0.2280, 0.0535, 0.7469)  4 O 2.46-2.54
Ac (0.2280, 0.4465, 0.2469)  4 O 2.46-2.54
Ac (0.7720, 0.5535, 0.7531)  4 O 2.46-2.54
Ac (0.7720, 0.9465, 0.2531)  4 O 2.46-2.54
Dy (0.5000, 0.0000, 0.5000)  6 O 2.25-2.29
Dy (0.5000, 0.5000, 0.0000)  6 O 2.25-2.29
O (0.1338, 0.1897, 0.4362)  1 Dy 2.25, 1 Ca 2.34, 1 Ac 2.46
O (0.1338, 0.3103, 0.9362)  1 Dy 2.25, 1 Ca 2.34, 1 Ac 2.46
O (0.2352, 0.7032, 0.4256)  1 Dy 2.28, 1 Ca 2.35, 1 Ac 2.46
O (0.2352, 0.7968, 0.9256)  1 Dy 2.28, 1 Ca 2.35, 1 Ac 2.46
O (0.3839, 0.0660, 0.2562)  1 Dy 2.29, 1 Ca 2.41, 2 Ac 2.48-2.54
O (0.3839, 0.4340, 0.7562)  1 Dy 2.29, 1 Ca 2.41, 2 Ac 2.48-2.54
O (0.6161, 0.5660, 0.2438)  1 Dy 2.29, 1 Ca 2.41, 2 Ac 2.48-2.54
O (0.6161, 0.9340, 0.7438)  1 Dy 2.29, 1 Ca 2.41, 2 Ac 2.48-2.54
O (0.7648, 0.2032, 0.0744)  1 Dy 2.28, 1 Ca 2.35, 1 Ac 2.46
O (0.7648, 0.2968, 0.5744)  1 Dy 2.28, 1 Ca 2.35, 1 Ac 2.46
O (0.8662, 0.6897, 0.0638)  1 Dy 2.25, 1 Ca 2.34, 1 Ac 2.46
O (0.8662, 0.8103, 0.5638)  1 Dy 2.25, 1 Ca 2.34, 1 Ac 2.46

Calculated values
space group: No. 14



2.
Compound: AlRhNO2
Source: Alexandria
Functional: PBE
Structure: optimized geometry

a b c (Å): 3.6074 3.6074 3.8450
angles (deg): 90.00 90.00 90.00
Last column: nearest neighbours and their distance in Å.
Sites, in units of the cell vectors:
Al (0.0000, 0.0000, 0.0000)  4 O 1.80, 2 N 1.92
Rh (0.5000, 0.5000, 0.5000)  4 N 2.55, 8 O 2.64
N (0.0000, 0.0000, 0.5000)  2 Al 1.92
O (0.0000, 0.5000, 0.0000)  2 Al 1.80
O (0.5000, 0.0000, 0.0000)  2 Al 1.80

Calculated values
space group: No. 123



3.
Compound: Pm2Zn5CdPd2
Source: Alexandria
Functional: PBE
Structure: optimized geometry

a b c (Å): 9.6567 9.6567 4.2290
angles (deg): 90.00 90.00 90.00
Last column: nearest neighbours and their distance in Å.
Sites, in units of the cell vectors:
Pm (0.1832, 0.3168, 0.0000)  3 Pd 2.79-2.94
Pm (0.3168, 0.8168, 0.0000)  3 Pd 2.79-2.94
Pm (0.6832, 0.1832, 0.0000)  3 Pd 2.79-2.94
Pm (0.8168, 0.6832, 0.0000)  3 Pd 2.79-2.94
Zn (0.0000, 0.5000, 0.5000)  4 Pd 2.61, 4 Zn 2.86
Zn (0.0539, 0.7910, 0.5000)  2 Pd 2.79, 3 Zn 2.86-2.95, 2 Cd 2.97
Zn (0.2090, 0.0539, 0.5000)  2 Pd 2.79, 3 Zn 2.86-2.95, 2 Cd 2.97
Zn (0.2910, 0.5539, 0.5000)  2 Pd 2.79, 3 Zn 2.86-2.95, 2 Cd 2.97
Zn (0.4461, 0.2910, 0.5000)  2 Pd 2.79, 3 Zn 2.86-2.95, 2 Cd 2.97
Zn (0.5000, 0.0000, 0.5000)  4 Pd 2.61, 4 Zn 2.86
Zn (0.5539, 0.7090, 0.5000)  2 Pd 2.79, 3 Zn 2.86-2.95, 2 Cd 2.97
Zn (0.7090, 0.4461, 0.5000)  2 Pd 2.79, 3 Zn 2.86-2.95, 2 Cd 2.97
Zn (0.7910, 0.9461, 0.5000)  2 Pd 2.79, 3 Zn 2.86-2.95, 2 Cd 2.97
Zn (0.9461, 0.2090, 0.5000)  2 Pd 2.79, 3 Zn 2.86-2.95, 2 Cd 2.97
Cd (0.0000, 0.0000, 0.0000)  8 Zn 2.97
Cd (0.5000, 0.5000, 0.0000)  8 Zn 2.97
Pd (0.1126, 0.6126, 0.0000)  6 Zn 2.61-2.79, 1 Pm 2.79
Pd (0.3874, 0.1126, 0.0000)  6 Zn 2.61-2.79, 1 Pm 2.79
Pd (0.6126, 0.8874, 0.0000)  6 Zn 2.61-2.79, 1 Pm 2.79
Pd (0.8874, 0.3874, 0.0000)  6 Zn 2.61-2.79, 1 Pm 2.79

Calculated values
energy of formation: -39.9 kJ/mol of atoms
space group: No. 127



4.
Compound: MgAl3Pt
Source: Alexandria
Functional: PBE
Structure: optimized geometry

a b c (Å): 4.8245 4.8245 4.8245
angles (deg): 90.00 90.00 90.00
Last column: nearest neighbours and their distance in Å.
Sites, in units of the cell vectors:
Mg (0.0000, 0.0000, 0.0000)  12 Al 3.41
Al (0.0000, 0.5000, 0.5000)  2 Pt 2.41
Al (0.5000, 0.0000, 0.5000)  2 Pt 2.41
Al (0.5000, 0.5000, 0.0000)  2 Pt 2.41
Pt (0.5000, 0.5000, 0.5000)  6 Al 2.41

Calculated values
energy of formation: -11.6 kJ/mol of atoms
energy above the lowest structure with this stoichiometry: 420 meV per atom
space group: No. 221



5.
Compound: CsKMg2Cd
Source: Alexandria
Functional: PBE
Structure: optimized geometry

a b c (Å): 5.6352 5.6352 6.6849
angles (deg): 90.00 90.00 90.00
Last column: nearest neighbours and their distance in Å.
Sites, in units of the cell vectors:
Cs (0.0000, 0.0000, 0.0000)  4 K 3.98, 8 Mg 4.37
K (0.5000, 0.5000, 0.0000)  2 Cd 3.34
Mg (0.0000, 0.5000, 0.5000)  2 Cd 2.82
Mg (0.5000, 0.0000, 0.5000)  2 Cd 2.82
Cd (0.5000, 0.5000, 0.5000)  4 Mg 2.82

Calculated values
energy of formation: 15.2 kJ/mol of atoms
space group: No. 123



6.
Compound: Ce2Ho2Tm5
Source: Alexandria
Functional: PBE
Structure: optimized geometry

a b c (Å): 7.8174 7.8174 7.7946
angles (deg): 107.26 107.26 37.18
Last column: nearest neighbours and their distance in Å.
Sites, in units of the cell vectors:
Ce (0.1083, 0.1083, 0.1638)  1 Ce 3.42, 7 Tm 3.48-3.53, 4 Ho 3.48
Ce (0.8917, 0.8917, 0.8362)  1 Ce 3.42, 7 Tm 3.48-3.53, 4 Ho 3.48
Ho (0.4447, 0.4447, 0.1653)  1 Ho 3.46, 4 Ce 3.48, 7 Tm 3.50-3.52
Ho (0.5553, 0.5553, 0.8347)  1 Ho 3.46, 4 Ce 3.48, 7 Tm 3.50-3.52
Tm (0.0000, 0.0000, 0.5000)  2 Ce 3.48, 6 Tm 3.50-3.52, 4 Ho 3.51
Tm (0.2222, 0.2222, 0.8331)  6 Tm 3.46-3.52, 3 Ce 3.50-3.53, 3 Ho 3.50-3.51
Tm (0.3323, 0.3323, 0.5020)  7 Tm 3.46-3.52, 2 Ho 3.50-3.52, 3 Ce 3.51-3.53
Tm (0.6677, 0.6677, 0.4980)  7 Tm 3.46-3.52, 2 Ho 3.50-3.52, 3 Ce 3.51-3.53
Tm (0.7778, 0.7778, 0.1669)  6 Tm 3.46-3.52, 3 Ce 3.50-3.53, 3 Ho 3.50-3.51

Calculated values
energy of formation: 6.5 kJ/mol of atoms
space group: No. 12



7.
Compound: LaSb2Te
Source: Alexandria
Functional: PBE
Structure: optimized geometry

a b c (Å): 6.0705 6.0705 6.0705
angles (deg): 138.33 125.87 70.56
Last column: nearest neighbours and their distance in Å.
Sites, in units of the cell vectors:
La (0.0000, 0.0000, 0.0000)  4 Te 3.50-3.53, 8 Sb 3.51-3.53
Sb (0.5134, 0.5134, 0.0000)  2 Sb 2.96, 2 Te 3.18
Sb (0.7177, 0.2177, 0.5000)  2 Sb 2.96
Te (0.2779, 0.7779, 0.5000)  6 Sb 3.18-3.56, 4 La 3.50-3.53

Calculated values
space group: No. 44



8.
Compound: DyTmSb2
Source: Alexandria
Functional: PBE
Structure: optimized geometry

a b c (Å): 4.3393 4.3393 7.4120
angles (deg): 90.00 90.00 120.00
Last column: nearest neighbours and their distance in Å.
Sites, in units of the cell vectors:
Dy (0.0000, 0.0000, 0.0000)  6 Sb 3.13
Tm (0.0000, 0.0000, 0.5000)  6 Sb 3.10
Sb (0.3333, 0.6667, 0.7465)  3 Tm 3.10, 3 Dy 3.13
Sb (0.6667, 0.3333, 0.2535)  3 Tm 3.10, 3 Dy 3.13

Calculated values
energy above the lowest structure with this stoichiometry: 59 meV per atom
space group: No. 164



9.
Compound: Pr3Ga2Au3
Source: Alexandria
Functional: PBE
Structure: optimized geometry

a b c (Å): 5.9606 5.9606 15.3714
angles (deg): 90.00 90.00 135.05
Last column: nearest neighbours and their distance in Å.
Sites, in units of the cell vectors:
Pr (0.0923, 0.9077, 0.6019)  4 Ga 3.20-3.36, 7 Au 3.23-3.34
Pr (0.0923, 0.9077, 0.8981)  4 Ga 3.20-3.36, 7 Au 3.23-3.34
Pr (0.3861, 0.6139, 0.7500)  5 Au 3.12-3.30, 4 Ga 3.38
Pr (0.6139, 0.3861, 0.2500)  5 Au 3.12-3.30, 4 Ga 3.38
Pr (0.9077, 0.0923, 0.1019)  4 Ga 3.20-3.36, 7 Au 3.23-3.34
Pr (0.9077, 0.0923, 0.3981)  4 Ga 3.20-3.36, 7 Au 3.23-3.34
Ga (0.2044, 0.7956, 0.1012)  3 Au 2.62-2.68
Ga (0.2044, 0.7956, 0.3988)  3 Au 2.62-2.68
Ga (0.7956, 0.2044, 0.6012)  3 Au 2.62-2.68
Ga (0.7956, 0.2044, 0.8988)  3 Au 2.62-2.68
Au (0.3311, 0.6689, 0.2500)  2 Ga 2.68
Au (0.3850, 0.6150, 0.5457)  2 Ga 2.62, 1 Au 2.90
Au (0.3850, 0.6150, 0.9543)  2 Ga 2.62, 1 Au 2.90
Au (0.6150, 0.3850, 0.0457)  2 Ga 2.62, 1 Au 2.90
Au (0.6150, 0.3850, 0.4543)  2 Ga 2.62, 1 Au 2.90
Au (0.6689, 0.3311, 0.7500)  2 Ga 2.68

Calculated values
energy of formation: -71.4 kJ/mol of atoms
space group: No. 63



10.
Compound: ZrTcNi2
Source: Alexandria
Functional: PBE
Structure: optimized geometry

a b c (Å): 4.9568 4.9568 7.6758
angles (deg): 119.34 119.34 47.66
Last column: nearest neighbours and their distance in Å.
Sites, in units of the cell vectors:
Zr (0.1996, 0.1996, 0.2887)  6 Ni 2.59-2.88, 2 Tc 2.81
Zr (0.8004, 0.8004, 0.7113)  6 Ni 2.59-2.88, 2 Tc 2.81
Tc (0.0000, 0.0000, 0.5000)  6 Ni 2.45-2.58
Tc (0.5000, 0.5000, 0.0000)  4 Ni 2.43-2.64
Ni (0.1720, 0.1720, 0.8975)  4 Ni 2.47-2.52, 2 Tc 2.58-2.64
Ni (0.4967, 0.4967, 0.3142)  3 Tc 2.43-2.45, 2 Ni 2.52, 1 Zr 2.59
Ni (0.5033, 0.5033, 0.6858)  3 Tc 2.43-2.45, 2 Ni 2.52, 1 Zr 2.59
Ni (0.8280, 0.8280, 0.1025)  4 Ni 2.47-2.52, 2 Tc 2.58-2.64

Calculated values
energy of formation: -20.2 kJ/mol of atoms
energy above the lowest structure with this stoichiometry: 54 meV per atom
space group: No. 12



11.
Compound: Ca2Ac9Pr
Source: Alexandria
Functional: PBE
Structure: optimized geometry

a b c (Å): 5.5893 5.5893 16.7438
angles (deg): 90.00 90.00 90.00
Last column: nearest neighbours and their distance in Å.
Sites, in units of the cell vectors:
Ca (0.0000, 0.0000, 0.1676)  12 Ac 3.95-3.98
Ca (0.0000, 0.0000, 0.8324)  12 Ac 3.95-3.98
Ac (0.0000, 0.5000, 0.0000)  8 Ac 3.95, 4 Ca 3.96
Ac (0.0000, 0.5000, 0.3372)  8 Ac 3.90-3.99, 2 Pr 3.90, 2 Ca 3.98
Ac (0.0000, 0.5000, 0.6628)  8 Ac 3.90-3.99, 2 Pr 3.90, 2 Ca 3.98
Ac (0.5000, 0.0000, 0.0000)  8 Ac 3.95, 4 Ca 3.96
Ac (0.5000, 0.0000, 0.3372)  8 Ac 3.90-3.99, 2 Pr 3.90, 2 Ca 3.98
Ac (0.5000, 0.0000, 0.6628)  8 Ac 3.90-3.99, 2 Pr 3.90, 2 Ca 3.98
Ac (0.5000, 0.5000, 0.1671)  4 Ca 3.95, 8 Ac 3.95-3.99
Ac (0.5000, 0.5000, 0.5000)  8 Ac 3.90, 4 Pr 3.95
Ac (0.5000, 0.5000, 0.8329)  4 Ca 3.95, 8 Ac 3.95-3.99
Pr (0.0000, 0.0000, 0.5000)  12 Ac 3.90-3.95

Calculated values
energy of formation: 2.1 kJ/mol of atoms
space group: No. 123



12.
Compound: Li2CdSb2
Source: Alexandria
Functional: PBE
Structure: optimized geometry

a b c (Å): 8.2324 8.2324 3.2462
angles (deg): 90.00 90.00 90.00
Last column: nearest neighbours and their distance in Å.
Sites, in units of the cell vectors:
Li (0.1163, 0.3837, 0.0000)  1 Li 2.71, 6 Sb 2.82-3.02
Li (0.3837, 0.8837, 0.0000)  1 Li 2.71, 6 Sb 2.82-3.02
Li (0.6163, 0.1163, 0.0000)  1 Li 2.71, 6 Sb 2.82-3.02
Li (0.8837, 0.6163, 0.0000)  1 Li 2.71, 6 Sb 2.82-3.02
Cd (0.0000, 0.0000, 0.0000)  2 Cd 3.25, 4 Li 3.30, 8 Sb 3.42
Cd (0.5000, 0.5000, 0.0000)  2 Cd 3.25, 4 Li 3.30, 8 Sb 3.42
Sb (0.1856, 0.6856, 0.5000)  6 Li 2.82-3.02
Sb (0.3144, 0.1856, 0.5000)  6 Li 2.82-3.02
Sb (0.6856, 0.8144, 0.5000)  6 Li 2.82-3.02
Sb (0.8144, 0.3144, 0.5000)  6 Li 2.82-3.02

Calculated values
energy above the lowest structure with this stoichiometry: 113 meV per atom
space group: No. 127



Which raw total energy belongs to each record? In order, -7.534 -6.190 -3.131 -3.892 -1.054 -4.753 -4.748 -5.370 -4.518 -7.829 -3.792 -2.816 eV per atom.